Record 1
This record from Alexandria via LeMat-Bulk describes a geometry-optimized BaBe2Re structure. The functional is GGA-PBE.

Properties
Energy relative to the lowest polymorph listed for this composition, eV per atom: 0.669
Energy relative to the elements, eV per atom: 1.089
VASP energy, eV/cell: -17.47
N(E_F), states/eV/atom: 0.754
ρ, g cm⁻³: 7.886

Cell: 5.7076 5.7076 5.7076 Å, 151.42 125.35 62.83°
Positions (direct):
Ba  0.0000  0.0000  0.0000
Be  0.2974  0.7974  0.5000
Be  0.5009  0.5009  0.0000
Re  0.7013  0.2013  0.5000

Record 2
This record from Alexandria via LeMat-Bulk describes a geometry-optimized Cs2NaCd structure. The functional is GGA-PBE.

Properties
Energy relative to the elements, eV per atom: 0.030
VASP energy, eV/cell: -3.82
N(E_F), states/eV/atom: 0.681
ρ, g cm⁻³: 2.779

Cell: 6.7880 6.7880 5.2037 Å, 90.00 90.00 90.00°
Positions (direct):
Cs  0.0000  0.5000  0.0000
Cs  0.5000  0.0000  0.0000
Na  0.0000  0.0000  0.5000
Cd  0.5000  0.5000  0.5000

Record 3
This record from Alexandria via LeMat-Bulk describes a geometry-optimized SrRu2Rh structure. The functional is GGA-PBE.

Properties
Energy relative to the lowest polymorph listed for this composition, eV per atom: 0.361
Energy relative to the elements, eV per atom: 0.736
VASP energy, eV/cell: -24.64
N(E_F), states/eV/atom: 1.885
ρ, g cm⁻³: 9.161

Cell: 3.9447 3.9447 4.5740 Å, 90.00 90.00 90.00°
Positions (direct):
Sr  0.0000  0.0000  0.0000
Ru  0.0000  0.5000  0.5000
Ru  0.5000  0.0000  0.5000
Rh  0.5000  0.5000  0.0000

Record 4
This record from Alexandria via LeMat-Bulk describes a geometry-optimized Na2LiP3Pt12 structure. The functional is GGA-PBE.

Properties
Energy relative to the elements, eV per atom: -0.249
VASP energy, eV/cell: -97.74
N(E_F), states/eV/atom: 0.538
ρ, g cm⁻³: 14.027

Cell: 6.7269 6.7269 6.7269 Å, 81.08 81.08 81.08°
Positions (direct):
Na  0.0916  0.0916  0.0916
Na  0.9084  0.9084  0.9084
Li  0.5000  0.5000  0.5000
P  0.0000  0.5000  0.5000
P  0.5000  0.0000  0.5000
P  0.5000  0.5000  0.0000
Pt  0.1470  0.1470  0.5872
Pt  0.1470  0.5872  0.1470
Pt  0.1542  0.6775  0.6775
Pt  0.3225  0.3225  0.8458
Pt  0.3225  0.8458  0.3225
Pt  0.4128  0.8530  0.8530
Pt  0.5872  0.1470  0.1470
Pt  0.6775  0.1542  0.6775
Pt  0.6775  0.6775  0.1542
Pt  0.8458  0.3225  0.3225
Pt  0.8530  0.4128  0.8530
Pt  0.8530  0.8530  0.4128

Record 5
This record from Alexandria via LeMat-Bulk describes a geometry-optimized USi2IrRu2 structure. The functional is GGA-PBE.

Properties
Formation energy without anion corrections, meV per atom: 168
VASP energy, eV/cell: -48.54
N(E_F), states/eV/atom: 2.052
ρ, g cm⁻³: 10.467

Cell: 4.5575 4.5575 5.2591 Å, 90.00 90.00 90.00°
Positions (direct):
U  0.0000  0.0000  0.0000
Si  0.0000  0.5000  0.5000
Si  0.5000  0.0000  0.5000
Ir  0.0000  0.0000  0.5000
Ru  0.5000  0.5000  0.2427
Ru  0.5000  0.5000  0.7573

Record 6
This record from Alexandria via LeMat-Bulk describes a geometry-optimized InSe4Br structure. The functional is GGA-PBE.

Properties
Formation energy without anion corrections, meV per atom: 305
VASP energy, eV/cell: -16.52
N(E_F), states/eV/atom: 1.625
ρ, g cm⁻³: 5.826

Cell: 5.9040 5.9040 5.9040 Å, 60.00 60.00 60.00°
Positions (direct):
In  0.0000  0.0000  0.0000
Se  0.1439  0.6187  0.6187
Se  0.6187  0.1439  0.6187
Se  0.6187  0.6187  0.1439
Se  0.6187  0.6187  0.6187
Br  0.2500  0.2500  0.2500